[1]
{
  "formula": "DyHo2NiGe3Ir2",
  "functional": "PBE-GGA",
  "state": "relaxed",
  "density_g_cm3": 11.52,
  "vol_a3_per_cell": 166.3,
  "final_energy_ry_per_atom": -0.4752,
  "space_group": "No. 38",
  "lattice": [[3.855, 0.000, 0.000], [0.000, 6.120, 3.525], [0.000, -6.120, 3.525]],
  "species": ["Ge", "Ge", "Ge", "Ir", "Ir", "Ho", "Ho", "Dy", "Ni"],
  "frac_coords": [[0.500, 0.000, 0.249], [0.500, 0.249, 0.000], [0.500, 0.751, 0.751], [0.500, 0.668, 0.333], [0.500, 0.333, 0.668], [0.000, 0.598, 0.000], [0.000, 0.000, 0.598], [0.000, 0.403, 0.403], [0.000, 0.999, 0.999]]
}

=====

[2]
{
  "formula": "Dy2HoNiGe3Ir2",
  "functional": "PBE-GGA",
  "state": "relaxed",
  "density_g_cm3": 11.50,
  "vol_a3_per_cell": 166.2,
  "final_energy_ry_per_atom": -0.4751,
  "space_group": "No. 38",
  "lattice": [[3.849, 0.000, 0.000], [0.000, 6.109, 3.534], [0.000, -6.109, 3.534]],
  "species": ["Ni", "Dy", "Dy", "Ge", "Ge", "Ge", "Ir", "Ir", "Ho"],
  "frac_coords": [[0.000, 0.999, 0.999], [0.000, 0.400, 0.000], [0.000, 0.000, 0.400], [0.500, 0.750, 0.000], [0.500, 0.251, 0.251], [0.500, 0.000, 0.750], [0.500, 0.666, 0.334], [0.500, 0.334, 0.666], [0.000, 0.600, 0.600]]
}